No. 1
A geometry-optimized TmZrC2 structure. Source: Alexandria, functional PBE-GGA.

a = 3.410 Å, b = 3.410 Å, c = 5.974 Å
α = 73.42°, β = 73.42°, γ = 60.00°
Atoms (fractional coordinates):
C (0.255, 0.255, 0.234)
C (0.745, 0.745, 0.766)
Tm (0.500, 0.500, 0.500)
Zr (0.000, 0.000, 0.000)

## Properties
Energy relative to the lowest polymorph listed for this composition (meV per atom): 0.0
Calculated formation energy (meV/atom): -450
Fermi-level density of states (states/eV/f.u.): 2.26

***

No. 2
A geometry-optimized Tm2Zr2C3 structure. Source: Alexandria, functional PBE-GGA.

a = 3.496 Å, b = 6.034 Å, c = 5.931 Å
α = 102.05°, β = 90.00°, γ = 106.85°
Atoms (fractional coordinates):
Zr (0.140, 0.280, 0.352)
C (0.255, 0.511, 0.733)
Tm (0.380, 0.759, 0.130)
Zr (0.860, 0.720, 0.648)
Tm (0.620, 0.241, 0.870)
C (0.000, 0.000, 0.000)
C (0.745, 0.489, 0.267)

## Properties
Calculated formation energy (meV/atom): -524
Fermi-level density of states (states/eV/f.u.): 3.34

***

No. 3
A geometry-optimized TmZr5C4 structure. Source: Alexandria, functional PBE-GGA.

a = 3.376 Å, b = 6.798 Å, c = 7.513 Å
α = 103.85°, β = 102.98°, γ = 90.00°
Atoms (fractional coordinates):
Zr (0.165, 0.852, 0.331)
Zr (0.836, 0.682, 0.672)
Zr (0.500, 0.500, 0.000)
C (0.996, 0.735, 0.993)
Zr (0.835, 0.148, 0.669)
C (0.328, 0.907, 0.657)
C (0.004, 0.265, 0.007)
C (0.672, 0.093, 0.343)
Tm (0.500, 0.000, 0.000)
Zr (0.164, 0.318, 0.328)

## Properties
Calculated formation energy (meV/atom): -560
Fermi-level density of states (states/eV/f.u.): 5.61

***

No. 4
A geometry-optimized TmZrC2 structure. Source: Alexandria, functional PBE-GGA.

a = 3.439 Å, b = 3.439 Å, c = 6.055 Å
α = 73.50°, β = 73.50°, γ = 60.00°
Atoms (fractional coordinates):
C (0.089, 0.089, 0.732)
C (0.243, 0.243, 0.272)
Tm (0.671, 0.671, 0.986)
Zr (0.497, 0.497, 0.509)

## Properties
Energy relative to the lowest polymorph listed for this composition (meV per atom): 356.4
Calculated formation energy (meV/atom): -93
Fermi-level density of states (states/eV/f.u.): 4.57

***

No. 5
A geometry-optimized U5C4 structure. Source: Alexandria, functional PBE-GGA.

a = 3.430 Å, b = 6.321 Å, c = 6.321 Å
α = 85.78°, β = 74.26°, γ = 74.26°
Atoms (fractional coordinates):
U (0.000, 0.694, 0.306)
U (0.000, 0.306, 0.694)
C (0.336, 0.000, 0.327)
U (0.694, 0.306, 0.306)
U (0.000, 0.000, 0.000)
C (0.664, 0.673, 0.000)
C (0.336, 0.327, 0.000)
U (0.306, 0.694, 0.694)
C (0.664, 0.000, 0.673)

## Properties
Calculated formation energy (meV/atom): 513
Fermi-level density of states (states/eV/f.u.): 14.06

***

No. 6
A geometry-optimized U4C3 structure. Source: Alexandria, functional PBE-GGA.

a = 3.257 Å, b = 6.272 Å, c = 5.955 Å
α = 111.01°, β = 105.87°, γ = 90.00°
Site moments in Bohr magnetons follow the coordinates.
Atoms (fractional coordinates):
U (0.103, 0.451, 0.206)  -0.34
C (0.738, 0.687, 0.476)  -0.01
C (0.000, 0.000, 0.000)  -0.02
C (0.262, 0.313, 0.524)  -0.01
U (0.654, 0.994, 0.308)  0.73
U (0.346, 0.006, 0.692)  0.73
U (0.897, 0.549, 0.794)  -0.34

## Properties
Energy relative to the lowest polymorph listed for this composition (meV per atom): 0.0
Calculated formation energy (meV/atom): -51
Fermi-level density of states (states/eV/f.u.): 13.14

***

No. 7
A geometry-optimized UC4 structure. Source: Alexandria, functional PBE-GGA.

a = 4.202 Å, b = 4.202 Å, c = 4.202 Å
α = 90.00°, β = 90.00°, γ = 90.00°
Atoms (fractional coordinates):
U (0.500, 0.500, 0.500)
C (0.500, 0.000, 0.500)
C (0.000, 0.000, 0.000)
C (0.000, 0.500, 0.500)
C (0.500, 0.500, 0.000)

## Properties
Calculated formation energy (meV/atom): 3217
Fermi-level density of states (states/eV/f.u.): 4.01

***

No. 8
A geometry-optimized UC structure. Source: Alexandria, functional PBE-GGA.

a = 4.071 Å, b = 4.075 Å, c = 5.005 Å
α = 90.00°, β = 90.00°, γ = 119.97°
Site moments in Bohr magnetons follow the coordinates.
Atoms (fractional coordinates):
U (0.166, 0.333, 0.750)  1.62
C (0.833, 0.666, 0.750)  -0.09
U (0.834, 0.667, 0.250)  1.62
C (0.167, 0.334, 0.250)  -0.09

## Properties
Energy relative to the lowest polymorph listed for this composition (meV per atom): 370.9
Calculated formation energy (meV/atom): 250
Fermi-level density of states (states/eV/f.u.): 3.98

***

Among the records above, which one has the highest calculated formation energy?
UC4

***

Please write out number 6 again, unchanged.
A geometry-optimized U4C3 structure. Source: Alexandria, functional PBE-GGA.

a = 3.257 Å, b = 6.272 Å, c = 5.955 Å
α = 111.01°, β = 105.87°, γ = 90.00°
Site moments in Bohr magnetons follow the coordinates.
Atoms (fractional coordinates):
U (0.103, 0.451, 0.206)  -0.34
C (0.738, 0.687, 0.476)  -0.01
C (0.000, 0.000, 0.000)  -0.02
C (0.262, 0.313, 0.524)  -0.01
U (0.654, 0.994, 0.308)  0.73
U (0.346, 0.006, 0.692)  0.73
U (0.897, 0.549, 0.794)  -0.34

## Properties
Energy relative to the lowest polymorph listed for this composition (meV per atom): 0.0
Calculated formation energy (meV/atom): -51
Fermi-level density of states (states/eV/f.u.): 13.14

***

The lowest Fermi-level density of states belongs to which entry?
number 1